VASP calculation (SCAN) on ScSi2N at its PBEsol-relaxed geometry.

abc: 5.969 5.969 6.590
angles: 90.00 90.00 90.00
Space group I-42d (No. 122)
Inequivalent atoms, fractional coordinates:
Sc (0.000, 0.000, 0.000) [4 per cell]
Si (0.141, 0.750, 0.625) [8 per cell]
N (0.000, 0.000, 0.500) [4 per cell]

Calculated values
Uncorrected formation energy (kJ/mol of atoms): -9.8
Spin magnetization (μB/cell): 0.000

VASP calculation (SCAN) on Re2SeBr at its PBEsol-relaxed geometry.

abc: 4.406 4.406 3.124
angles: 90.00 90.00 90.00
Space group P4/mmm (No. 123)
Inequivalent atoms, fractional coordinates:
Re (0.000, 0.500, 0.000) [2 per cell]
Se (0.000, 0.000, 0.500) [1 per cell]
Br (0.500, 0.500, 0.500) [1 per cell]

Calculated values
Relative energy among the computed polymorphs (kJ/mol of formula units): 299.4
Uncorrected formation energy (kJ/mol of atoms): 138.7
Spin magnetization (μB/cell): 0.000

VASP calculation (SCAN) on LaNi at its PBEsol-relaxed geometry.

abc: 9.313 8.329 6.679
angles: 90.00 90.00 90.00
Space group Pbcm (No. 57)
Inequivalent atoms, fractional coordinates:
La (0.103, 0.250, 0.000) [4 per cell]
La (0.229, 0.634, 0.250) [4 per cell]
La (0.390, 0.013, 0.250) [4 per cell]
Ni (0.084, 0.556, 0.750) [4 per cell]
Ni (0.340, 0.148, 0.750) [4 per cell]
Ni (0.490, 0.750, 0.000) [4 per cell]

Calculated values
Formation enthalpy at 0 K (kJ/mol of formula units): -37
Spin magnetization (μB/cell): 0.000

Question: What is the formula in the first record?
Answer: ScSi2N